Record 1
Entry from Alexandria via LeMat-Bulk: a relaxed Mg2ReSe crystal (PBE).

Cell lengths 5.1692, 5.1692, 2.7665 Å; angles 90.00, 90.00, 109.37 degrees
Fractional coordinates of all 4 atoms:
1 Mg 0.0000 0.5000 0.0000
2 Mg 0.5000 0.0000 0.0000
3 Re 0.0000 0.0000 0.5000
4 Se 0.5000 0.5000 0.5000

Properties
uncorrected formation energy: 0.185 eV per atom
space group: Cmmm (65)
magnetic moment: 0.00 Bohr magnetons per cell


Record 2
Entry from Alexandria via LeMat-Bulk: a relaxed MgReSe2 crystal (PBE).

Cell lengths 3.3649, 5.0276, 4.7255 Å; angles 90.00, 110.52, 90.00 degrees
Fractional coordinates of all 4 atoms:
1 Mg 0.0000 0.0000 0.0000
2 Re 0.3641 0.5000 0.7247
3 Se 0.2900 0.0000 0.5714
4 Se 0.6581 0.5000 0.3044

Properties
uncorrected formation energy: -0.005 eV per atom
space group: Pm (6)
magnetic moment: 0.00 Bohr magnetons per cell


Record 3
Entry from Alexandria via LeMat-Bulk: a relaxed Mg2ReSe crystal (PBE).

Cell lengths 4.5851, 4.5851, 3.3177 Å; angles 90.00, 90.00, 90.00 degrees
Fractional coordinates of all 4 atoms:
1 Mg 0.0000 0.5000 0.0000
2 Mg 0.5000 0.0000 0.0000
3 Re 0.0000 0.0000 0.5000
4 Se 0.5000 0.5000 0.5000

Properties
uncorrected formation energy: 0.295 eV per atom
space group: P4/mmm (123)
magnetic moment: 0.46 Bohr magnetons per cell


- What is the uncorrected formation energy in the second record?
  -0.005 eV per atom